First-principles (GGA-PBE) data for a relaxed AcErGaAg crystal, as listed in Alexandria via LeMat-Bulk. Values from VASP.

Properties
Its density of states at the Fermi level is 3.0 states/eV per cell. For the electronic total energy, the calculation gives -15.95 eV for the cell shown. The value obtained for the energy relative to the elements is -0.35 eV per atom.

```
&SYSTEM
  ibrav = 0, nat = 4, ntyp = 4
/
ATOMIC_SPECIES
Ac 227.00 Ac.upf
Er 167.26 Er.upf
Ga 69.72 Ga.upf
Ag 107.87 Ag.upf
ATOMIC_POSITIONS crystal
Ac 0.000 0.000 0.000
Er 0.500 0.500 0.500
Ga 0.250 0.250 0.250
Ag 0.750 0.750 0.750
CELL_PARAMETERS angstrom
0.000 3.787 3.787
3.787 0.000 3.787
3.787 3.787 0.000
```